Record 1
A relaxed Si2HOsW crystal, computed with PBE-GGA.

Structure (extended XYZ):
```
5
Lattice="4.236 0.000 0.000 0.000 4.236 0.000 0.000 0.000 3.266" Properties=species:S:1:pos:R:3 pbc="T T T"
Si 0.000 2.118 0.000
Si 2.118 0.000 0.000
H 0.000 0.000 0.000
Os 0.000 0.000 1.633
W 2.118 2.118 1.633
```

Calculated values
Raw total energy ... -7.48 eV/atom

---

Record 2
A relaxed YSiHOs crystal, computed with PBE-GGA.

Structure (extended XYZ):
```
8
Lattice="4.084 0.000 0.000 0.000 4.084 0.000 0.000 0.000 7.172" Properties=species:S:1:pos:R:3 pbc="T T T"
Y 1.021 1.021 1.133
Y 3.063 3.063 6.039
Si 1.021 1.021 4.847
Si 3.063 3.063 2.325
H 1.021 3.063 0.000
H 3.063 1.021 0.000
Os 1.021 3.063 3.586
Os 3.063 1.021 3.586
```

Calculated values
Raw total energy ... -7.28 eV/atom

---

Record 3
A relaxed SmH6Os crystal, computed with PBE-GGA.

Structure (extended XYZ):
```
8
Lattice="2.297 1.326 3.768 -2.297 1.326 3.768 0.000 -2.652 3.768" Properties=species:S:1:pos:R:3 pbc="T T T"
Sm 0.000 0.000 0.000
H -1.262 -0.729 4.769
H 0.000 -1.458 6.535
H -1.262 0.729 6.535
H 1.262 -0.729 4.769
H 0.000 1.458 4.769
H 1.262 0.729 6.535
Os 0.000 0.000 5.652
```

Calculated values
Raw total energy ... -4.69 eV/atom

---

Record 4
A relaxed SmH5Os crystal, computed with PBE-GGA.

Structure (extended XYZ):
```
7
Lattice="-1.819 2.513 3.444 1.819 -2.513 3.444 1.819 2.513 -3.444" Properties=species:S:1:pos:R:3 pbc="T T T"
Sm 0.000 0.000 0.000
H 1.819 1.254 -1.152
H 1.819 1.254 1.152
H 0.000 2.513 0.000
H 0.000 1.260 2.292
H 0.000 1.260 4.596
Os 0.000 0.000 3.444
```

Calculated values
Raw total energy ... -4.98 eV/atom

---

Q: Which of these has the highest raw total energy?
A: SmH6Os